(1)
# PBE-GGA NiSb, relaxed
# SG: Cm (8)
# E, eV per atom: -4.9530
# Magnetization, μB/cell: 0.0
# Formation energy (no corrections), kJ/mol of atoms: -0.11
data_NiSb
_cell_length_a 4.422
_cell_length_b 4.549
_cell_length_c 4.554
_cell_angle_alpha 90.00
_cell_angle_beta 121.15
_cell_angle_gamma 90.00
_symmetry_space_group_name_H-M 'P 1'
_symmetry_Int_Tables_number 1
loop_
_symmetry_equiv_pos_as_xyz
'x,y,z'
loop_
_atom_site_label
_atom_site_type_symbol
_atom_site_fract_x
_atom_site_fract_y
_atom_site_fract_z
Ni1 Ni 0.820 0.000 0.277
Ni2 Ni 0.820 0.500 0.777
Sb1 Sb 0.150 0.000 0.943
Sb2 Sb 0.150 0.500 0.443


(2)
# PBE-GGA NiSb, relaxed
# SG: P4_2/mnm (136)
# E, eV per atom: -4.8980
# Magnetization, μB/cell: 0.0
# Formation energy (no corrections), kJ/mol of atoms: 5.19
data_NiSb
_cell_length_a 7.514
_cell_length_b 7.514
_cell_length_c 3.187
_cell_angle_alpha 90.00
_cell_angle_beta 90.00
_cell_angle_gamma 90.00
_symmetry_space_group_name_H-M 'P 1'
_symmetry_Int_Tables_number 1
loop_
_symmetry_equiv_pos_as_xyz
'x,y,z'
loop_
_atom_site_label
_atom_site_type_symbol
_atom_site_fract_x
_atom_site_fract_y
_atom_site_fract_z
Ni1 Ni 0.382 0.618 0.000
Ni2 Ni 0.882 0.882 0.500
Ni3 Ni 0.118 0.118 0.500
Ni4 Ni 0.618 0.382 0.000
Sb1 Sb 0.295 0.295 0.000
Sb2 Sb 0.795 0.205 0.500
Sb3 Sb 0.205 0.795 0.500
Sb4 Sb 0.705 0.705 0.000


(3)
# PBE-GGA NiSb2, relaxed
# SG: I4/mmm (139)
# E, eV per atom: -4.6759
# Magnetization, μB/cell: 0.0
# Formation energy (no corrections), kJ/mol of atoms: -0.05
data_NiSb2
_cell_length_a 6.757
_cell_length_b 6.757
_cell_length_c 6.757
_cell_angle_alpha 152.70
_cell_angle_beta 152.70
_cell_angle_gamma 38.99
_symmetry_space_group_name_H-M 'P 1'
_symmetry_Int_Tables_number 1
loop_
_symmetry_equiv_pos_as_xyz
'x,y,z'
loop_
_atom_site_label
_atom_site_type_symbol
_atom_site_fract_x
_atom_site_fract_y
_atom_site_fract_z
Ni1 Ni 0.000 0.000 0.000
Sb1 Sb 0.373 0.373 0.000
Sb2 Sb 0.627 0.627 0.000


(4)
# PBE-GGA Ni6Sb, relaxed
# SG: R-3m (166)
# E, eV per atom: -5.5604
# Magnetization, μB/cell: 0.0
# Formation energy (no corrections), kJ/mol of atoms: -1.55
data_Ni6Sb
_cell_length_a 4.081
_cell_length_b 4.081
_cell_length_c 6.330
_cell_angle_alpha 71.19
_cell_angle_beta 71.19
_cell_angle_gamma 60.00
_symmetry_space_group_name_H-M 'P 1'
_symmetry_Int_Tables_number 1
loop_
_symmetry_equiv_pos_as_xyz
'x,y,z'
loop_
_atom_site_label
_atom_site_type_symbol
_atom_site_fract_x
_atom_site_fract_y
_atom_site_fract_z
Ni1 Ni 0.717 0.717 0.849
Ni2 Ni 0.434 0.434 0.699
Ni3 Ni 0.145 0.145 0.565
Ni4 Ni 0.855 0.855 0.435
Ni5 Ni 0.566 0.566 0.301
Ni6 Ni 0.283 0.283 0.151
Sb1 Sb 0.000 0.000 0.000


(5)
# PBE-GGA NiSb3, relaxed
# SG: P4/mmm (123)
# E, eV per atom: -4.1081
# Magnetization, μB/cell: 0.0
# Energy relative to the lowest polymorph listed for this composition, eV/f.u.: 2.30
# Formation energy (no corrections), kJ/mol of atoms: 41.40
data_NiSb3
_cell_length_a 5.034
_cell_length_b 5.034
_cell_length_c 3.619
_cell_angle_alpha 90.00
_cell_angle_beta 90.00
_cell_angle_gamma 90.00
_symmetry_space_group_name_H-M 'P 1'
_symmetry_Int_Tables_number 1
loop_
_symmetry_equiv_pos_as_xyz
'x,y,z'
loop_
_atom_site_label
_atom_site_type_symbol
_atom_site_fract_x
_atom_site_fract_y
_atom_site_fract_z
Ni1 Ni 0.000 0.000 0.000
Sb1 Sb 0.500 0.000 0.500
Sb2 Sb 0.500 0.500 0.000
Sb3 Sb 0.000 0.500 0.500


(6)
# PBE-GGA Ni2Sb3, relaxed
# SG: P-3m1 (164)
# E, eV per atom: -4.8010
# Magnetization, μB/cell: 0.0
# Energy relative to the lowest polymorph listed for this composition, eV/f.u.: 0.91
# Formation energy (no corrections), kJ/mol of atoms: -1.45
data_Ni2Sb3
_cell_length_a 4.207
_cell_length_b 4.207
_cell_length_c 6.726
_cell_angle_alpha 90.00
_cell_angle_beta 90.00
_cell_angle_gamma 120.00
_symmetry_space_group_name_H-M 'P 1'
_symmetry_Int_Tables_number 1
loop_
_symmetry_equiv_pos_as_xyz
'x,y,z'
loop_
_atom_site_label
_atom_site_type_symbol
_atom_site_fract_x
_atom_site_fract_y
_atom_site_fract_z
Ni1 Ni 0.667 0.333 0.239
Ni2 Ni 0.333 0.667 0.761
Sb1 Sb 0.000 0.000 0.000
Sb2 Sb 0.667 0.333 0.653
Sb3 Sb 0.333 0.667 0.347


(7)
# PBE-GGA Ni3Sb2, relaxed
# SG: Fdd2 (43)
# E, eV per atom: -5.1128
# Magnetization, μB/cell: 0.0
# Formation energy (no corrections), kJ/mol of atoms: 0.48
data_Ni3Sb2
_cell_length_a 12.631
_cell_length_b 12.062
_cell_length_c 4.421
_cell_angle_alpha 87.05
_cell_angle_beta 72.49
_cell_angle_gamma 20.46
_symmetry_space_group_name_H-M 'P 1'
_symmetry_Int_Tables_number 1
loop_
_symmetry_equiv_pos_as_xyz
'x,y,z'
loop_
_atom_site_label
_atom_site_type_symbol
_atom_site_fract_x
_atom_site_fract_y
_atom_site_fract_z
Ni1 Ni 0.514 0.668 0.349
Ni2 Ni 0.468 0.349 0.668
Ni3 Ni 0.582 0.736 0.782
Ni4 Ni 0.901 0.782 0.736
Ni5 Ni 0.019 0.981 0.981
Ni6 Ni 0.269 0.231 0.231
Sb1 Sb 0.774 0.342 0.659
Sb2 Sb 0.224 0.659 0.342
Sb3 Sb 0.908 0.476 0.026
Sb4 Sb 0.591 0.026 0.476


(8)
# PBE-GGA Ni5Sb, relaxed
# SG: Cmmm (65)
# E, eV per atom: -5.5820
# Magnetization, μB/cell: 0.1
# Formation energy (no corrections), kJ/mol of atoms: -7.44
data_Ni5Sb
_cell_length_a 5.678
_cell_length_b 5.678
_cell_length_c 3.688
_cell_angle_alpha 90.00
_cell_angle_beta 90.00
_cell_angle_gamma 141.86
_symmetry_space_group_name_H-M 'P 1'
_symmetry_Int_Tables_number 1
loop_
_symmetry_equiv_pos_as_xyz
'x,y,z'
loop_
_atom_site_label
_atom_site_type_symbol
_atom_site_fract_x
_atom_site_fract_y
_atom_site_fract_z
Ni1 Ni 0.966 0.034 0.000
Ni2 Ni 0.312 0.688 0.000
Ni3 Ni 0.639 0.361 0.000
Ni4 Ni 0.468 0.532 0.500
Ni5 Ni 0.810 0.190 0.500
Sb1 Sb 0.139 0.861 0.500


(9)
# PBE-GGA NiSb2, relaxed
# SG: P4/mmm (123)
# E, eV per atom: -4.5296
# Magnetization, μB/cell: 0.0
# Formation energy (no corrections), kJ/mol of atoms: 14.07
data_NiSb2
_cell_length_a 4.450
_cell_length_b 4.450
_cell_length_c 3.370
_cell_angle_alpha 90.00
_cell_angle_beta 90.00
_cell_angle_gamma 90.00
_symmetry_space_group_name_H-M 'P 1'
_symmetry_Int_Tables_number 1
loop_
_symmetry_equiv_pos_as_xyz
'x,y,z'
loop_
_atom_site_label
_atom_site_type_symbol
_atom_site_fract_x
_atom_site_fract_y
_atom_site_fract_z
Ni1 Ni 0.000 0.000 0.000
Sb1 Sb 0.000 0.500 0.500
Sb2 Sb 0.500 0.000 0.500


(10)
# PBE-GGA Ni5Sb4, relaxed
# SG: I4/mmm (139)
# E, eV per atom: -5.0389
# Magnetization, μB/cell: 0.0
# Energy relative to the lowest polymorph listed for this composition, eV/f.u.: 0.00
# Formation energy (no corrections), kJ/mol of atoms: 0.50
data_Ni5Sb4
_cell_length_a 6.523
_cell_length_b 6.523
_cell_length_c 6.523
_cell_angle_alpha 95.05
_cell_angle_beta 95.05
_cell_angle_gamma 145.46
_symmetry_space_group_name_H-M 'P 1'
_symmetry_Int_Tables_number 1
loop_
_symmetry_equiv_pos_as_xyz
'x,y,z'
loop_
_atom_site_label
_atom_site_type_symbol
_atom_site_fract_x
_atom_site_fract_y
_atom_site_fract_z
Ni1 Ni 0.000 0.000 0.000
Ni2 Ni 0.667 0.333 0.000
Ni3 Ni 0.333 0.667 0.000
Ni4 Ni 0.333 0.333 0.666
Ni5 Ni 0.667 0.667 0.334
Sb1 Sb 0.714 0.000 0.714
Sb2 Sb 0.286 0.000 0.286
Sb3 Sb 0.000 0.286 0.286
Sb4 Sb 0.000 0.714 0.714


(11)
# PBE-GGA NiSb, relaxed
# SG: P2_12_12_1 (19)
# E, eV per atom: -5.0832
# Magnetization, μB/cell: 0.0
# Formation energy (no corrections), kJ/mol of atoms: -12.67
data_NiSb
_cell_length_a 5.300
_cell_length_b 8.147
_cell_length_c 6.873
_cell_angle_alpha 90.00
_cell_angle_beta 90.00
_cell_angle_gamma 90.00
_symmetry_space_group_name_H-M 'P 1'
_symmetry_Int_Tables_number 1
loop_
_symmetry_equiv_pos_as_xyz
'x,y,z'
loop_
_atom_site_label
_atom_site_type_symbol
_atom_site_fract_x
_atom_site_fract_y
_atom_site_fract_z
Ni1 Ni 0.252 0.625 0.084
Ni2 Ni 0.752 0.875 0.916
Ni3 Ni 0.748 0.125 0.416
Ni4 Ni 0.248 0.375 0.584
Ni5 Ni 0.493 0.123 0.738
Ni6 Ni 0.993 0.377 0.262
Ni7 Ni 0.507 0.623 0.762
Ni8 Ni 0.007 0.877 0.238
Sb1 Sb 0.734 0.614 0.115
Sb2 Sb 0.234 0.886 0.885
Sb3 Sb 0.266 0.114 0.385
Sb4 Sb 0.766 0.386 0.615
Sb5 Sb 0.241 0.345 0.940
Sb6 Sb 0.741 0.155 0.060
Sb7 Sb 0.759 0.845 0.560
Sb8 Sb 0.259 0.655 0.440


(12)
# PBE-GGA NiSb3, relaxed
# SG: Cmcm (63)
# E, eV per atom: -4.4635
# Magnetization, μB/cell: 0.0
# Energy relative to the lowest polymorph listed for this composition, eV/f.u.: 0.88
# Formation energy (no corrections), kJ/mol of atoms: 7.10
data_NiSb3
_cell_length_a 7.170
_cell_length_b 7.170
_cell_length_c 4.113
_cell_angle_alpha 90.00
_cell_angle_beta 90.00
_cell_angle_gamma 112.15
_symmetry_space_group_name_H-M 'P 1'
_symmetry_Int_Tables_number 1
loop_
_symmetry_equiv_pos_as_xyz
'x,y,z'
loop_
_atom_site_label
_atom_site_type_symbol
_atom_site_fract_x
_atom_site_fract_y
_atom_site_fract_z
Ni1 Ni 0.561 0.439 0.250
Ni2 Ni 0.439 0.561 0.750
Sb1 Sb 0.841 0.159 0.750
Sb2 Sb 0.159 0.841 0.250
Sb3 Sb 0.818 0.575 0.750
Sb4 Sb 0.182 0.425 0.250
Sb5 Sb 0.425 0.182 0.750
Sb6 Sb 0.575 0.818 0.250


(13)
# PBE-GGA NiSb2, relaxed
# SG: Cmcm (63)
# E, eV per atom: -4.7672
# Magnetization, μB/cell: 0.0
# Formation energy (no corrections), kJ/mol of atoms: -8.86
data_NiSb2
_cell_length_a 7.614
_cell_length_b 7.614
_cell_length_c 4.949
_cell_angle_alpha 90.00
_cell_angle_beta 90.00
_cell_angle_gamma 150.21
_symmetry_space_group_name_H-M 'P 1'
_symmetry_Int_Tables_number 1
loop_
_symmetry_equiv_pos_as_xyz
'x,y,z'
loop_
_atom_site_label
_atom_site_type_symbol
_atom_site_fract_x
_atom_site_fract_y
_atom_site_fract_z
Ni1 Ni 0.164 0.836 0.250
Ni2 Ni 0.836 0.164 0.750
Sb1 Sb 0.557 0.443 0.250
Sb2 Sb 0.443 0.557 0.750
Sb3 Sb 0.786 0.214 0.250
Sb4 Sb 0.214 0.786 0.750


(14)
# PBE-GGA NiSb, relaxed
# SG: I4/m (87)
# E, eV per atom: -4.9928
# Magnetization, μB/cell: 0.0
# Formation energy (no corrections), kJ/mol of atoms: -3.95
data_NiSb
_cell_length_a 8.917
_cell_length_b 8.917
_cell_length_c 4.049
_cell_angle_alpha 90.00
_cell_angle_beta 90.00
_cell_angle_gamma 90.00
_symmetry_space_group_name_H-M 'P 1'
_symmetry_Int_Tables_number 1
loop_
_symmetry_equiv_pos_as_xyz
'x,y,z'
loop_
_atom_site_label
_atom_site_type_symbol
_atom_site_fract_x
_atom_site_fract_y
_atom_site_fract_z
Ni1 Ni 0.423 0.113 0.000
Ni2 Ni 0.577 0.887 0.000
Ni3 Ni 0.887 0.423 0.000
Ni4 Ni 0.113 0.577 0.000
Ni5 Ni 0.923 0.613 0.500
Ni6 Ni 0.077 0.387 0.500
Ni7 Ni 0.387 0.923 0.500
Ni8 Ni 0.613 0.077 0.500
Sb1 Sb 0.226 0.892 0.000
Sb2 Sb 0.774 0.108 0.000
Sb3 Sb 0.108 0.226 0.000
Sb4 Sb 0.892 0.774 0.000
Sb5 Sb 0.726 0.392 0.500
Sb6 Sb 0.274 0.608 0.500
Sb7 Sb 0.608 0.726 0.500
Sb8 Sb 0.392 0.274 0.500


(15)
# PBE-GGA NiSb2, relaxed
# SG: Pnma (62)
# E, eV per atom: -4.8317
# Magnetization, μB/cell: 0.0
# Formation energy (no corrections), kJ/mol of atoms: -15.08
data_NiSb2
_cell_length_a 3.904
_cell_length_b 5.451
_cell_length_c 12.720
_cell_angle_alpha 90.00
_cell_angle_beta 90.00
_cell_angle_gamma 90.00
_symmetry_space_group_name_H-M 'P 1'
_symmetry_Int_Tables_number 1
loop_
_symmetry_equiv_pos_as_xyz
'x,y,z'
loop_
_atom_site_label
_atom_site_type_symbol
_atom_site_fract_x
_atom_site_fract_y
_atom_site_fract_z
Ni1 Ni 0.750 0.429 0.365
Ni2 Ni 0.750 0.071 0.865
Ni3 Ni 0.250 0.929 0.135
Ni4 Ni 0.250 0.571 0.635
Sb1 Sb 0.250 0.809 0.938
Sb2 Sb 0.250 0.691 0.438
Sb3 Sb 0.250 0.346 0.810
Sb4 Sb 0.750 0.309 0.562
Sb5 Sb 0.750 0.191 0.062
Sb6 Sb 0.750 0.654 0.190
Sb7 Sb 0.250 0.154 0.310
Sb8 Sb 0.750 0.846 0.690


(16)
# PBE-GGA NiSb3, relaxed
# SG: Pm-3m (221)
# E, eV per atom: -4.0805
# Magnetization, μB/cell: 0.0
# Energy relative to the lowest polymorph listed for this composition, eV/f.u.: 2.41
# Formation energy (no corrections), kJ/mol of atoms: 44.06
data_NiSb3
_cell_length_a 4.521
_cell_length_b 4.521
_cell_length_c 4.521
_cell_angle_alpha 90.00
_cell_angle_beta 90.00
_cell_angle_gamma 90.00
_symmetry_space_group_name_H-M 'P 1'
_symmetry_Int_Tables_number 1
loop_
_symmetry_equiv_pos_as_xyz
'x,y,z'
loop_
_atom_site_label
_atom_site_type_symbol
_atom_site_fract_x
_atom_site_fract_y
_atom_site_fract_z
Ni1 Ni 0.000 0.000 0.000
Sb1 Sb 0.000 0.500 0.500
Sb2 Sb 0.500 0.000 0.500
Sb3 Sb 0.500 0.500 0.000


(17)
# PBE-GGA NiSb3, relaxed
# SG: P6_322 (182)
# E, eV per atom: -4.5759
# Magnetization, μB/cell: 0.0
# Energy relative to the lowest polymorph listed for this composition, eV/f.u.: 0.43
# Formation energy (no corrections), kJ/mol of atoms: -3.74
data_NiSb3
_cell_length_a 5.125
_cell_length_b 6.467
_cell_length_c 6.467
_cell_angle_alpha 120.00
_cell_angle_beta 90.00
_cell_angle_gamma 90.00
_symmetry_space_group_name_H-M 'P 1'
_symmetry_Int_Tables_number 1
loop_
_symmetry_equiv_pos_as_xyz
'x,y,z'
loop_
_atom_site_label
_atom_site_type_symbol
_atom_site_fract_x
_atom_site_fract_y
_atom_site_fract_z
Ni1 Ni 0.724 0.333 0.667
Ni2 Ni 0.224 0.667 0.333
Sb1 Sb 0.474 0.315 0.000
Sb2 Sb 0.974 0.685 0.000
Sb3 Sb 0.974 0.000 0.686
Sb4 Sb 0.474 0.686 0.685
Sb5 Sb 0.474 0.000 0.314
Sb6 Sb 0.974 0.314 0.315


(18)
# PBE-GGA NiSb, relaxed
# SG: Pm-3n (223)
# E, eV per atom: -4.6634
# Magnetization, μB/cell: 0.0
# Formation energy (no corrections), kJ/mol of atoms: 27.83
data_NiSb
_cell_length_a 6.996
_cell_length_b 6.996
_cell_length_c 6.996
_cell_angle_alpha 90.00
_cell_angle_beta 90.00
_cell_angle_gamma 90.00
_symmetry_space_group_name_H-M 'P 1'
_symmetry_Int_Tables_number 1
loop_
_symmetry_equiv_pos_as_xyz
'x,y,z'
loop_
_atom_site_label
_atom_site_type_symbol
_atom_site_fract_x
_atom_site_fract_y
_atom_site_fract_z
Ni1 Ni 0.250 0.000 0.500
Ni2 Ni 0.750 0.000 0.500
Ni3 Ni 0.000 0.500 0.250
Ni4 Ni 0.000 0.500 0.750
Ni5 Ni 0.500 0.250 0.000
Ni6 Ni 0.500 0.750 0.000
Sb1 Sb 0.250 0.500 0.000
Sb2 Sb 0.750 0.500 0.000
Sb3 Sb 0.500 0.000 0.250
Sb4 Sb 0.500 0.000 0.750
Sb5 Sb 0.000 0.250 0.500
Sb6 Sb 0.000 0.750 0.500


(19)
# PBE-GGA NiSb, relaxed
# SG: P-6m2 (187)
# E, eV per atom: -5.1318
# Magnetization, μB/cell: 0.0
# Formation energy (no corrections), kJ/mol of atoms: -17.36
data_NiSb
_cell_length_a 3.958
_cell_length_b 3.958
_cell_length_c 7.980
_cell_angle_alpha 90.03
_cell_angle_beta 90.03
_cell_angle_gamma 60.00
_symmetry_space_group_name_H-M 'P 1'
_symmetry_Int_Tables_number 1
loop_
_symmetry_equiv_pos_as_xyz
'x,y,z'
loop_
_atom_site_label
_atom_site_type_symbol
_atom_site_fract_x
_atom_site_fract_y
_atom_site_fract_z
Ni1 Ni 0.750 0.750 0.056
Ni2 Ni 0.750 0.750 0.722
Ni3 Ni 0.750 0.750 0.388
Sb1 Sb 0.417 0.417 0.222
Sb2 Sb 0.083 0.083 0.539
Sb3 Sb 0.083 0.083 0.906


(20)
# PBE-GGA NiSb, relaxed
# SG: P6_3/m (176)
# E, eV per atom: -4.8876
# Magnetization, μB/cell: 0.0
# Formation energy (no corrections), kJ/mol of atoms: 6.20
data_NiSb
_cell_length_a 9.411
_cell_length_b 9.411
_cell_length_c 3.967
_cell_angle_alpha 90.00
_cell_angle_beta 90.00
_cell_angle_gamma 120.00
_symmetry_space_group_name_H-M 'P 1'
_symmetry_Int_Tables_number 1
loop_
_symmetry_equiv_pos_as_xyz
'x,y,z'
loop_
_atom_site_label
_atom_site_type_symbol
_atom_site_fract_x
_atom_site_fract_y
_atom_site_fract_z
Ni1 Ni 0.590 0.012 0.250
Ni2 Ni 0.578 0.590 0.750
Ni3 Ni 0.988 0.578 0.250
Ni4 Ni 0.410 0.988 0.750
Ni5 Ni 0.422 0.410 0.250
Ni6 Ni 0.012 0.422 0.750
Sb1 Sb 0.849 0.269 0.250
Sb2 Sb 0.580 0.849 0.750
Sb3 Sb 0.731 0.580 0.250
Sb4 Sb 0.151 0.731 0.750
Sb5 Sb 0.420 0.151 0.250
Sb6 Sb 0.269 0.420 0.750